1.
# ZrSb2Pt

ZrSb2Pt after structural relaxation (GGA-PBE, the Alexandria database). Values from VASP.

## Properties
Density (g/cm³): 10.4
Formation energy without anion corrections (eV/atom): -0.277
V (Å³ per cell): 84.9

Structure (Quantum ESPRESSO input):
```
&SYSTEM
  ibrav = 0, nat = 4, ntyp = 3
/
ATOMIC_SPECIES
Sb 121.76 Sb.upf
Zr 91.22 Zr.upf
Pt 195.08 Pt.upf
CELL_PARAMETERS angstrom
-1.491 -1.848 -2.856
2.118 -2.945 0.800
-4.411 -2.167 3.704
ATOMIC_POSITIONS crystal
Sb 0.000 0.000 0.506
Zr 0.500 0.500 0.250
Sb 0.000 0.000 0.994
Pt 0.500 0.500 0.750
```


2.
# NiAs2OsBr

NiAs2OsBr after structural relaxation (GGA-PBE, the Alexandria database). Values from VASP.

## Properties
Density (g/cm³): 8.4
Formation energy without anion corrections (eV/atom): 1.229
V (Å³ per cell): 94.5
ΔE to the lowest computed polymorph (meV/atom): 240

Structure (Quantum ESPRESSO input):
```
&SYSTEM
  ibrav = 0, nat = 5, ntyp = 4
/
ATOMIC_SPECIES
Os 190.23 Os.upf
Ni 58.69 Ni.upf
As 74.92 As.upf
Br 79.90 Br.upf
CELL_PARAMETERS angstrom
4.479 0.000 0.000
0.000 4.479 0.000
0.000 0.000 4.710
ATOMIC_POSITIONS crystal
Os 0.500 0.500 0.500
Ni 0.000 0.000 0.000
As 0.500 0.000 0.000
As 0.000 0.500 0.000
Br 0.000 0.000 0.500
```


3.
# Tb4NiRh3

Tb4NiRh3 after structural relaxation (GGA-PBE, the Alexandria database). Values from VASP.

## Properties
Density (g/cm³): 10.3
V (Å³ per cell): 161.8

Structure (Quantum ESPRESSO input):
```
&SYSTEM
  ibrav = 0, nat = 8, ntyp = 3
/
ATOMIC_SPECIES
Tb 158.93 Tb.upf
Rh 102.91 Rh.upf
Ni 58.69 Ni.upf
CELL_PARAMETERS angstrom
-1.050 -1.485 -2.864
2.140 -4.171 1.378
-8.242 -2.759 4.451
ATOMIC_POSITIONS crystal
Tb 0.000 0.500 0.248
Rh 0.500 0.500 0.500
Tb 0.000 0.000 0.000
Rh 0.500 0.000 0.250
Tb 0.000 0.500 0.752
Tb 0.000 0.000 0.500
Rh 0.500 0.000 0.750
Ni 0.500 0.500 0.000
```


4.
# Ho2NpGa6

Ho2NpGa6 after structural relaxation (GGA-PBE, the Alexandria database). Values from VASP.

## Properties
Density (g/cm³): 9.0
V (Å³ per cell): 182.3

Structure (Quantum ESPRESSO input):
```
&SYSTEM
  ibrav = 0, nat = 9, ntyp = 3
/
ATOMIC_SPECIES
Ga 69.72 Ga.upf
Np 237.00 Np.upf
Ho 164.93 Ho.upf
CELL_PARAMETERS angstrom
3.623 0.000 0.000
0.000 6.602 -3.812
0.000 0.000 7.623
ATOMIC_POSITIONS crystal
Ga 0.500 0.666 0.000
Np 0.000 0.000 0.000
Ga 0.500 0.000 0.334
Ho 0.000 0.667 0.333
Ga 0.500 0.334 0.000
Ho 0.000 0.333 0.667
Ga 0.500 0.000 0.666
Ga 0.500 0.666 0.666
Ga 0.500 0.334 0.334
```


5.
# Na2Be2O3

Na2Be2O3 after structural relaxation (GGA-PBE, the Alexandria database). Values from VASP.

## Properties
Density (g/cm³): 2.9
Formation energy without anion corrections (eV/atom): -2.116
V (Å³ per cell): 129.1
ΔE to the lowest computed polymorph (meV/atom): 10

Structure (Quantum ESPRESSO input):
```
&SYSTEM
  ibrav = 0, nat = 14, ntyp = 3
/
ATOMIC_SPECIES
Be 9.01 Be.upf
O 16.00 O.upf
Na 22.99 Na.upf
CELL_PARAMETERS angstrom
-4.371 -2.481 1.593
0.746 -3.505 -3.414
2.984 -4.113 1.784
ATOMIC_POSITIONS crystal
Be 0.102 0.331 0.929
O 0.351 0.411 0.706
Be 0.398 0.331 0.429
O 0.000 0.000 0.000
Na 0.876 0.189 0.572
O 0.851 0.589 0.794
O 0.649 0.589 0.294
O 0.500 0.000 0.500
Na 0.124 0.811 0.428
Na 0.624 0.189 0.072
Be 0.602 0.669 0.571
Be 0.898 0.669 0.071
Na 0.376 0.811 0.928
O 0.149 0.411 0.206
```


6.
# ScTcSN2

ScTcSN2 after structural relaxation (GGA-PBE, the Alexandria database). Values from VASP.

## Properties
Density (g/cm³): 4.1
Formation energy without anion corrections (eV/atom): 0.972
V (Å³ per cell): 83.2
ΔE to the lowest computed polymorph (meV/atom): 1139

Structure (Quantum ESPRESSO input):
```
&SYSTEM
  ibrav = 0, nat = 5, ntyp = 4
/
ATOMIC_SPECIES
Tc 98.00 Tc.upf
S 32.06 S.upf
N 14.01 N.upf
Sc 44.96 Sc.upf
CELL_PARAMETERS angstrom
4.069 0.000 0.000
0.000 4.069 0.000
0.000 0.000 5.022
ATOMIC_POSITIONS crystal
Tc 0.500 0.500 0.500
S 0.000 0.000 0.500
N 0.500 0.000 0.000
N 0.000 0.500 0.000
Sc 0.000 0.000 0.000
```


7.
# TaCu3Pd2

TaCu3Pd2 after structural relaxation (GGA-PBE, the Alexandria database). Values from VASP.

## Properties
Density (g/cm³): 11.3
V (Å³ per cell): 342.1

Structure (Quantum ESPRESSO input):
```
&SYSTEM
  ibrav = 0, nat = 24, ntyp = 3
/
ATOMIC_SPECIES
Cu 63.55 Cu.upf
Pd 106.42 Pd.upf
Ta 180.95 Ta.upf
CELL_PARAMETERS angstrom
-2.255 1.354 -0.888
1.887 -1.407 -6.937
-8.803 -14.330 0.512
ATOMIC_POSITIONS crystal
Cu 0.250 0.061 0.561
Pd 0.750 0.871 0.953
Pd 0.750 0.688 0.799
Pd 0.750 0.371 0.547
Cu 0.750 0.939 0.439
Ta 0.250 0.518 0.669
Cu 0.250 0.377 0.813
Pd 0.750 0.188 0.701
Cu 0.750 0.123 0.313
Cu 0.750 0.261 0.926
Pd 0.250 0.629 0.453
Cu 0.750 0.761 0.574
Cu 0.250 0.877 0.687
Cu 0.250 0.561 0.939
Cu 0.250 0.239 0.426
Pd 0.250 0.312 0.201
Cu 0.750 0.623 0.187
Cu 0.750 0.439 0.061
Cu 0.250 0.739 0.074
Pd 0.250 0.812 0.299
Ta 0.750 0.482 0.331
Pd 0.250 0.129 0.047
Ta 0.750 0.982 0.169
Ta 0.250 0.018 0.831
```


8.
# CaNd2In9

CaNd2In9 after structural relaxation (GGA-PBE, the Alexandria database). Values from VASP.

## Properties
Density (g/cm³): 7.2
V (Å³ per cell): 315.5

Structure (Quantum ESPRESSO input):
```
&SYSTEM
  ibrav = 0, nat = 12, ntyp = 3
/
ATOMIC_SPECIES
Ca 40.08 Ca.upf
In 114.82 In.upf
Nd 144.24 Nd.upf
CELL_PARAMETERS angstrom
-2.566 -2.625 -2.971
3.504 0.154 -3.162
5.554 -11.750 5.584
ATOMIC_POSITIONS crystal
Ca 0.000 0.000 0.000
In 0.000 0.500 0.500
In 0.000 0.500 0.835
Nd 0.000 0.000 0.666
In 0.500 0.500 0.333
In 0.500 0.500 0.667
In 0.500 0.000 0.835
Nd 0.000 0.000 0.334
In 0.500 0.500 0.000
In 0.000 0.500 0.165
In 0.500 0.000 0.165
In 0.500 0.000 0.500
```


no.,D(E_F) (states/eV/atom),uncorrected energy (eV per atom)
1,0.88,-5.986
2,0.73,-4.367
3,0.43,-6.524
4,1.15,-4.919
5,0.00,-5.682
6,0.65,-6.523
7,0.58,-5.837
8,0.44,-3.434